i.
# PrZn2Au2 PBE relaxed
# Mass density: 10.52 g/cm³
data_PrZn2Au2
_chemical_formula_sum 'Pr2 Zn4 Au4'
_cell_length_a 4.123
_cell_length_b 4.123
_cell_length_c 12.367
_cell_angle_alpha 90.00
_cell_angle_beta 90.00
_cell_angle_gamma 90.00
_symmetry_space_group_name_H-M 'I 4/m m m'
_symmetry_Int_Tables_number 139
_symmetry_space_group_name_Hall '-I 4 2'
loop_
_atom_site_label
_atom_site_type_symbol
_atom_site_fract_x
_atom_site_fract_y
_atom_site_fract_z
Pr1 Pr 0.000 0.000 0.000
Zn1 Zn 0.000 0.500 0.250
Au1 Au 0.000 0.000 0.387

=====

ii.
# PrZn2Au2 PBE relaxed
# Mass density: 10.62 g/cm³
data_PrZn2Au2
_chemical_formula_sum 'Pr2 Zn4 Au4'
_cell_length_a 4.293
_cell_length_b 4.293
_cell_length_c 11.295
_cell_angle_alpha 90.00
_cell_angle_beta 90.00
_cell_angle_gamma 90.00
_symmetry_space_group_name_H-M 'P 4/n m m'
_symmetry_Int_Tables_number 129
loop_
_symmetry_equiv_pos_as_xyz
'x,y,z'
'-x,-y,-z'
'-y+1/2,x,z'
'y+1/2,-x,-z'
'-x+1/2,-y+1/2,z'
'x+1/2,y+1/2,-z'
'y,-x+1/2,z'
'-y,x+1/2,-z'
'x+1/2,-y,-z'
'-x+1/2,y,z'
'-y,-x,-z'
'y,x,z'
'-x,y+1/2,-z'
'x,-y+1/2,z'
'y+1/2,x+1/2,-z'
'-y+1/2,-x+1/2,z'
loop_
_atom_site_label
_atom_site_type_symbol
_atom_site_fract_x
_atom_site_fract_y
_atom_site_fract_z
Pr1 Pr 0.250 0.250 0.249
Zn1 Zn 0.250 0.250 0.635
Zn2 Zn 0.250 0.750 0.000
Au1 Au 0.250 0.250 0.862
Au2 Au 0.250 0.750 0.500

=====

Name the least stable of them. ii.

=====

i.
# Pr3Zn2Au PBE relaxed
# Mass density: 8.00 g/cm³
data_Pr3Zn2Au
_chemical_formula_sum 'Pr3 Zn2 Au1'
_cell_length_a 5.2677
_cell_length_b 5.2677
_cell_length_c 6.4853
_cell_angle_alpha 90.00
_cell_angle_beta 90.00
_cell_angle_gamma 120.00
_symmetry_space_group_name_H-M 'P -3 m 1'
_symmetry_Int_Tables_number 164
_symmetry_space_group_name_Hall '-P 3 2"'
loop_
_atom_site_label
_atom_site_type_symbol
_atom_site_fract_x
_atom_site_fract_y
_atom_site_fract_z
Pr1 Pr 0.0000 0.0000 0.0000
Pr2 Pr 0.3333 0.6667 0.6626
Zn1 Zn 0.3333 0.6667 0.1497
Au1 Au 0.0000 0.0000 0.5000

=====

ii.
# Pr3Zn2Au PBE relaxed
# Mass density: 8.05 g/cm³
data_Pr3Zn2Au
_chemical_formula_sum 'Pr3 Zn2 Au1'
_cell_length_a 3.746
_cell_length_b 3.746
_cell_length_c 11.029
_cell_angle_alpha 90.00
_cell_angle_beta 90.00
_cell_angle_gamma 90.00
_symmetry_space_group_name_H-M 'P 4/m m m'
_symmetry_Int_Tables_number 123
_symmetry_space_group_name_Hall '-P 4 2'
loop_
_atom_site_label
_atom_site_type_symbol
_atom_site_fract_x
_atom_site_fract_y
_atom_site_fract_z
Pr1 Pr 0.000 0.000 0.000
Pr2 Pr 0.000 0.000 0.330
Zn1 Zn 0.500 0.500 0.160
Au1 Au 0.500 0.500 0.500

=====

Name the least stable of them. i.

=====

i.
# Pr4ZnAu PBE relaxed
# Mass density: 6.91 g/cm³
data_Pr4ZnAu
_chemical_formula_sum 'Pr8 Zn2 Au2'
_cell_length_a 7.007
_cell_length_b 7.767
_cell_length_c 7.298
_cell_angle_alpha 90.00
_cell_angle_beta 91.48
_cell_angle_gamma 90.00
_symmetry_space_group_name_H-M 'P 1 21/c 1'
_symmetry_Int_Tables_number 14
_symmetry_space_group_name_Hall '-P 2ybc'
loop_
_atom_site_label
_atom_site_type_symbol
_atom_site_fract_x
_atom_site_fract_y
_atom_site_fract_z
Pr1 Pr 0.146 0.159 0.148
Pr2 Pr 0.352 0.665 0.148
Zn1 Zn 0.500 0.000 0.000
Au1 Au 0.000 0.000 0.500

=====

ii.
# Pr4ZnAu PBE relaxed
# Mass density: 7.69 g/cm³
data_Pr4ZnAu
_chemical_formula_sum 'Pr4 Zn1 Au1'
_cell_length_a 3.759
_cell_length_b 3.759
_cell_length_c 12.613
_cell_angle_alpha 90.00
_cell_angle_beta 90.00
_cell_angle_gamma 90.00
_symmetry_space_group_name_H-M 'P 4/m m m'
_symmetry_Int_Tables_number 123
_symmetry_space_group_name_Hall '-P 4 2'
loop_
_atom_site_label
_atom_site_type_symbol
_atom_site_fract_x
_atom_site_fract_y
_atom_site_fract_z
Pr1 Pr 0.000 0.000 0.143
Pr2 Pr 0.500 0.500 0.355
Zn1 Zn 0.500 0.500 0.000
Au1 Au 0.000 0.000 0.500

=====

Name the least stable of them. i.